A plane-wave DFT calculation with PBE was carried out for a relaxed structure of BeAgIrAu.

Lattice parameters (Å, degrees): 2.8788 2.8788 7.0874 90.00 90.00 90.00
Fractional positions:
Be 0.0000 0.0000 0.0000
Ag 0.5000 0.5000 0.7500
Ir 0.5000 0.5000 0.1528
Au 0.0000 0.0000 0.4479

Computed properties:
* size of the total moment: 0.000 μB per cell
* N(E_F): 2.065 states/eV/cell
* V: 14.68 Å³/atom

=====

A plane-wave DFT calculation with PBE was carried out for a relaxed structure of BeAgIrAu.

Lattice parameters (Å, degrees): 4.6220 2.8984 4.6719 90.00 105.89 90.00
Fractional positions:
Be 0.0000 0.0000 0.0000
Ag 0.4020 0.0000 0.4809
Ir 0.9494 0.5000 0.6121
Au 0.5624 0.5000 0.0286

Computed properties:
* size of the total moment: 0.000 μB per cell
* N(E_F): 1.999 states/eV/cell
* V: 15.05 Å³/atom

=====

A plane-wave DFT calculation with PBE was carried out for a relaxed structure of BeAgIrAu.

Lattice parameters (Å, degrees): 9.3267 3.0438 4.9617 90.00 121.24 90.00
Fractional positions:
Be 0.0000 0.0000 0.0000
Be 0.5000 0.5000 0.0000
Ag 0.2881 0.0000 0.9957
Ag 0.7881 0.5000 0.9957
Ir 0.4808 0.0000 0.6644
Ir 0.9808 0.5000 0.6644
Au 0.1801 0.5000 0.3961
Au 0.6801 0.0000 0.3961

Computed properties:
* size of the total moment: 0.000 μB per cell
* N(E_F): 3.154 states/eV/cell
* V: 15.05 Å³/atom

=====

Values of electronic total energy, in order: -4.74; -4.51; -4.54, all in eV/atom.